w.
Compound: La6In2Pt
Source: Alexandria via LeMat-Bulk
Functional: GGA-PBE
Structure: optimized geometry

```
La6In2Pt
1.0
9.123 0.000 0.000
-4.561 7.901 0.000
0.000 0.000 3.959
La In Pt
6 2 1
direct
0.000 0.246 0.000 La
0.000 0.600 0.500 La
0.246 0.000 0.000 La
0.400 0.400 0.500 La
0.600 0.000 0.500 La
0.754 0.754 0.000 La
0.333 0.667 0.000 In
0.667 0.333 0.000 In
0.000 0.000 0.500 Pt
```

## Properties
N(E_F) (states/eV/f.u.): 11.73

***

x.
Compound: La6In2Pt
Source: Alexandria via LeMat-Bulk
Functional: GGA-PBE
Structure: optimized geometry

```
La6In2Pt
1.0
9.757 0.000 0.000
0.000 10.634 0.000
0.000 0.000 5.645
La In Pt
12 4 2
direct
0.000 0.211 0.000 La
0.000 0.789 0.000 La
0.137 0.425 0.500 La
0.215 0.061 0.500 La
0.285 0.561 0.000 La
0.363 0.925 0.000 La
0.500 0.289 0.500 La
0.500 0.711 0.500 La
0.637 0.075 0.000 La
0.715 0.439 0.000 La
0.785 0.939 0.500 La
0.863 0.575 0.500 La
0.170 0.749 0.500 In
0.330 0.249 0.000 In
0.670 0.751 0.000 In
0.830 0.251 0.500 In
0.000 0.500 0.000 Pt
0.500 0.000 0.500 Pt
```

## Properties
N(E_F) (states/eV/f.u.): 7.41

***

Of them, x has the lowest stability.